# 1
Computed, not measured: crystalline Pr2Er7Tl2 at its relaxed geometry at the PBE level of DFT.

CIF file:
```
data_Pr2Er7Tl2
_chemical_formula_sum 'Pr2 Er7 Tl2'
_cell_length_a 11.1265
_cell_length_b 11.1265
_cell_length_c 11.1265
_cell_angle_alpha 161.03
_cell_angle_beta 55.30
_cell_angle_gamma 128.58
_space_group_name_H-M_alt 'P 1'
_space_group_IT_number 1
loop_
_space_group_symop_operation_xyz
'x,y,z'
loop_
_atom_site_label
_atom_site_type_symbol
_atom_site_fract_x
_atom_site_fract_y
_atom_site_fract_z
Pr1 Pr 0.0000 0.0000 0.0000
Pr2 Pr 0.6627 0.1627 0.5000
Er1 Er 0.0124 0.6451 0.3673
Er2 Er 0.2778 0.6451 0.6327
Er3 Er 0.3450 0.3450 0.0000
Er4 Er 0.3482 0.0105 0.3377
Er5 Er 0.6727 0.0105 0.6623
Er6 Er 0.6875 0.8234 0.8641
Er7 Er 0.9593 0.8234 0.1359
Tl1 Tl 0.0543 0.2956 0.7586
Tl2 Tl 0.5370 0.2956 0.2414
```

Properties
ΔE_f = -0.0059 eV/atom
Raw total energy = -46.30 eV/cell



# 2
Computed, not measured: crystalline HfAs2RuBr at its relaxed geometry at the PBE level of DFT.

CIF file:
```
data_HfAs2RuBr
_chemical_formula_sum 'Hf1 As2 Ru1 Br1'
_cell_length_a 5.1479
_cell_length_b 5.1479
_cell_length_c 5.1558
_cell_angle_alpha 90.00
_cell_angle_beta 90.00
_cell_angle_gamma 90.00
_space_group_name_H-M_alt 'P 1'
_space_group_IT_number 1
loop_
_space_group_symop_operation_xyz
'x,y,z'
loop_
_atom_site_label
_atom_site_type_symbol
_atom_site_fract_x
_atom_site_fract_y
_atom_site_fract_z
Hf1 Hf 0.0000 0.0000 0.0000
As1 As 0.0000 0.5000 0.0000
As2 As 0.5000 0.0000 0.0000
Ru1 Ru 0.5000 0.5000 0.5000
Br1 Br 0.0000 0.0000 0.5000
```

Properties
E_form (uncorrected) = 0.759 eV/atom
Raw total energy = -26.40 eV/cell



# 3
Computed, not measured: crystalline AcSnAsPd at its relaxed geometry at the PBE level of DFT.

CIF file:
```
data_AcSnAsPd
_chemical_formula_sum 'Ac1 Sn1 As1 Pd1'
_cell_length_a 5.2070
_cell_length_b 5.2070
_cell_length_c 5.2070
_cell_angle_alpha 60.00
_cell_angle_beta 60.00
_cell_angle_gamma 60.00
_space_group_name_H-M_alt 'P 1'
_space_group_IT_number 1
loop_
_space_group_symop_operation_xyz
'x,y,z'
loop_
_atom_site_label
_atom_site_type_symbol
_atom_site_fract_x
_atom_site_fract_y
_atom_site_fract_z
Ac1 Ac 0.0000 0.0000 0.0000
Sn1 Sn 0.5000 0.5000 0.5000
As1 As 0.2500 0.2500 0.2500
Pd1 Pd 0.7500 0.7500 0.7500
```

Properties
ΔE_f = -0.5603 eV/atom
Raw total energy = -20.20 eV/cell



# 4
Computed, not measured: crystalline Tl3CdCo at its relaxed geometry at the PBE level of DFT.

CIF file:
```
data_Tl3CdCo
_chemical_formula_sum 'Tl3 Cd1 Co1'
_cell_length_a 5.1290
_cell_length_b 5.1290
_cell_length_c 5.1290
_cell_angle_alpha 90.00
_cell_angle_beta 90.00
_cell_angle_gamma 90.00
_space_group_name_H-M_alt 'P 1'
_space_group_IT_number 1
loop_
_space_group_symop_operation_xyz
'x,y,z'
loop_
_atom_site_label
_atom_site_type_symbol
_atom_site_fract_x
_atom_site_fract_y
_atom_site_fract_z
Tl1 Tl 0.0000 0.0000 0.5000
Tl2 Tl 0.0000 0.5000 0.0000
Tl3 Tl 0.5000 0.0000 0.0000
Cd1 Cd 0.5000 0.5000 0.5000
Co1 Co 0.0000 0.0000 0.0000
```

Properties
ΔE_f = 0.2061 eV/atom
Raw total energy = -14.09 eV/cell



# 5
Computed, not measured: crystalline Sc2AgIr at its relaxed geometry at the PBE level of DFT.

CIF file:
```
data_Sc2AgIr
_chemical_formula_sum 'Sc4 Ag2 Ir2'
_cell_length_a 5.9939
_cell_length_b 5.9939
_cell_length_c 5.9939
_cell_angle_alpha 103.90
_cell_angle_beta 103.90
_cell_angle_gamma 121.30
_space_group_name_H-M_alt 'P 1'
_space_group_IT_number 1
loop_
_space_group_symop_operation_xyz
'x,y,z'
loop_
_atom_site_label
_atom_site_type_symbol
_atom_site_fract_x
_atom_site_fract_y
_atom_site_fract_z
Sc1 Sc 0.0972 0.6250 0.9722
Sc2 Sc 0.3750 0.3472 0.4722
Sc3 Sc 0.6528 0.1250 0.0278
Sc4 Sc 0.8750 0.9028 0.5278
Ag1 Ag 0.2500 0.7500 0.5000
Ag2 Ag 0.5000 0.5000 0.0000
Ir1 Ir 0.0000 0.0000 0.0000
Ir2 Ir 0.7500 0.2500 0.5000
```

Properties
ΔE_f = -0.2212 eV/atom
Raw total energy = -50.52 eV/cell



# 6
Computed, not measured: crystalline B2OsAu at its relaxed geometry at the PBE level of DFT.

CIF file:
```
data_B2OsAu
_chemical_formula_sum 'B2 Os1 Au1'
_cell_length_a 3.9867
_cell_length_b 3.9867
_cell_length_c 3.9867
_cell_angle_alpha 60.00
_cell_angle_beta 60.00
_cell_angle_gamma 60.00
_space_group_name_H-M_alt 'P 1'
_space_group_IT_number 1
loop_
_space_group_symop_operation_xyz
'x,y,z'
loop_
_atom_site_label
_atom_site_type_symbol
_atom_site_fract_x
_atom_site_fract_y
_atom_site_fract_z
B1 B 0.2500 0.2500 0.2500
B2 B 0.7500 0.7500 0.7500
Os1 Os 0.0000 0.0000 0.0000
Au1 Au 0.5000 0.5000 0.5000
```

Properties
ΔE_f = 1.0459 eV/atom
Raw total energy = -23.68 eV/cell



# 7
Computed, not measured: crystalline Ce6Zn5Ga at its relaxed geometry at the PBE level of DFT.

CIF file:
```
data_Ce6Zn5Ga
_chemical_formula_sum 'Ce6 Zn5 Ga1'
_cell_length_a 8.2903
_cell_length_b 8.2903
_cell_length_c 5.4680
_cell_angle_alpha 90.91
_cell_angle_beta 90.91
_cell_angle_gamma 44.02
_space_group_name_H-M_alt 'P 1'
_space_group_IT_number 1
loop_
_space_group_symop_operation_xyz
'x,y,z'
loop_
_atom_site_label
_atom_site_type_symbol
_atom_site_fract_x
_atom_site_fract_y
_atom_site_fract_z
Ce1 Ce 0.0792 0.5869 0.6645
Ce2 Ce 0.2410 0.7590 0.0000
Ce3 Ce 0.4131 0.9208 0.3355
Ce4 Ce 0.5869 0.0792 0.6645
Ce5 Ce 0.7590 0.2410 0.0000
Ce6 Ce 0.9208 0.4131 0.3355
Zn1 Zn 0.0000 0.0000 0.5000
Zn2 Zn 0.1677 0.1677 0.8342
Zn3 Zn 0.3348 0.3348 0.1648
Zn4 Zn 0.6652 0.6652 0.8352
Zn5 Zn 0.8323 0.8323 0.1658
Ga1 Ga 0.5000 0.5000 0.5000
```

Properties
ΔE_f = -0.2471 eV/atom
Raw total energy = -47.97 eV/cell



# 8
Computed, not measured: crystalline AsIrAu2 at its relaxed geometry at the PBE level of DFT.

CIF file:
```
data_AsIrAu2
_chemical_formula_sum 'As1 Ir1 Au2'
_cell_length_a 9.9573
_cell_length_b 9.9573
_cell_length_c 9.9573
_cell_angle_alpha 16.86
_cell_angle_beta 16.86
_cell_angle_gamma 16.86
_space_group_name_H-M_alt 'P 1'
_space_group_IT_number 1
loop_
_space_group_symop_operation_xyz
'x,y,z'
loop_
_atom_site_label
_atom_site_type_symbol
_atom_site_fract_x
_atom_site_fract_y
_atom_site_fract_z
As1 As 0.0000 0.0000 0.0000
Ir1 Ir 0.2709 0.2709 0.2709
Au1 Au 0.5233 0.5233 0.5233
Au2 Au 0.7705 0.7705 0.7705
```

Properties
ΔE_f = 0.1157 eV/atom
Raw total energy = -19.60 eV/cell